No. 1
The following is a PBEsol calculation of crystalline Sr2CrRe at its relaxed geometry, from Alexandria via LeMat-Bulk.

Cell lengths 5.2424, 5.2424, 5.2424 Å; angles 60.00, 60.00, 60.00 degrees
With the nearest neighbours (Å) after each atom.
Element x y z (fractional)
Sr (0.2500, 0.2500, 0.2500)  4 Re 3.21, 4 Cr 3.21
Sr (0.7500, 0.7500, 0.7500)  4 Re 3.21, 4 Cr 3.21
Cr (0.0000, 0.0000, 0.0000)  8 Sr 3.21
Re (0.5000, 0.5000, 0.5000)  8 Sr 3.21

## Properties
energy relative to the elements	1.39	eV per atom
crystal system	cubic


No. 2
The following is a PBEsol calculation of crystalline SrCrRe3 at its relaxed geometry, from Alexandria via LeMat-Bulk.

Cell lengths 4.6698, 4.6698, 4.6698 Å; angles 90.00, 90.00, 90.00 degrees
With the nearest neighbours (Å) after each atom.
Element x y z (fractional)
Sr (0.0000, 0.0000, 0.0000)  6 Re 2.33
Cr (0.5000, 0.5000, 0.5000)  12 Re 3.30
Re (0.0000, 0.0000, 0.5000)  2 Sr 2.33
Re (0.0000, 0.5000, 0.0000)  2 Sr 2.33
Re (0.5000, 0.0000, 0.0000)  2 Sr 2.33

## Properties
energy relative to the elements	3.88	eV per atom
crystal system	cubic


No. 3
The following is a PBEsol calculation of crystalline TaCr2Re at its relaxed geometry, from Alexandria via LeMat-Bulk.

Cell lengths 4.2644, 4.2644, 4.2644 Å; angles 60.00, 60.00, 60.00 degrees
With the nearest neighbours (Å) after each atom.
Element x y z (fractional)
Ta (0.0000, 0.0000, 0.0000)  4 Cr 2.61, 4 Re 2.61
Cr (0.5000, 0.5000, 0.5000)  4 Cr 2.61, 4 Re 2.61
Cr (0.7500, 0.7500, 0.7500)  4 Cr 2.61, 4 Ta 2.61
Re (0.2500, 0.2500, 0.2500)  4 Cr 2.61, 4 Ta 2.61

## Properties
energy relative to the elements	-0.02	eV per atom
crystal system	cubic


No. 4
The following is a PBEsol calculation of crystalline TaCr2Re at its relaxed geometry, from Alexandria via LeMat-Bulk.

Cell lengths 2.6582, 2.6582, 8.3294 Å; angles 90.00, 90.00, 110.55 degrees
With the nearest neighbours (Å) after each atom.
Element x y z (fractional)
Ta (0.0000, 0.0000, 0.0000)  4 Cr 2.63, 4 Ta 2.66
Cr (0.5000, 0.5000, 0.2584)  2 Re 2.52, 2 Ta 2.63, 4 Cr 2.66
Cr (0.5000, 0.5000, 0.7416)  2 Re 2.52, 2 Ta 2.63, 4 Cr 2.66
Re (0.0000, 0.0000, 0.5000)  4 Cr 2.52, 4 Re 2.66

## Properties
energy relative to the elements	0.11	eV per atom
crystal system	orthorhombic


No. 5
The following is a PBEsol calculation of crystalline TaCr2Re at its relaxed geometry, from Alexandria via LeMat-Bulk.

Cell lengths 2.6562, 2.6562, 8.3129 Å; angles 90.00, 90.00, 110.55 degrees
With the nearest neighbours (Å) after each atom.
Element x y z (fractional)
Ta (0.0000, 0.0000, 0.0000)  2 Cr 2.64, 4 Ta 2.66, 2 Re 2.76
Cr (0.0000, 0.0000, 0.5235)  2 Cr 2.35, 2 Re 2.54
Cr (0.5000, 0.5000, 0.7402)  2 Cr 2.35
Re (0.5000, 0.5000, 0.2782)  2 Cr 2.54, 4 Re 2.66, 2 Ta 2.76

## Properties
energy relative to the elements	0.08	eV per atom
crystal system	orthorhombic


No. 6
The following is a PBEsol calculation of crystalline TaCrRe3 at its relaxed geometry, from Alexandria via LeMat-Bulk.

Cell lengths 4.3675, 4.3675, 4.3675 Å; angles 90.00, 90.00, 90.00 degrees
With the nearest neighbours (Å) after each atom.
Element x y z (fractional)
Ta (0.0000, 0.0000, 0.0000)  12 Re 3.09
Cr (0.5000, 0.5000, 0.5000)  6 Re 2.18
Re (0.0000, 0.5000, 0.5000)  2 Cr 2.18
Re (0.5000, 0.0000, 0.5000)  2 Cr 2.18
Re (0.5000, 0.5000, 0.0000)  2 Cr 2.18

## Properties
energy relative to the elements	1.32	eV per atom
crystal system	cubic


No. 7
The following is a PBEsol calculation of crystalline CrRe2Tc at its relaxed geometry, from Alexandria via LeMat-Bulk.

Cell lengths 5.0119, 5.0119, 5.0119 Å; angles 145.48, 129.12, 62.94 degrees
With the nearest neighbours (Å) after each atom.
Element x y z (fractional)
Cr (0.0000, 0.0000, 0.0000)  6 Re 2.45-2.62, 2 Tc 2.50
Re (0.2282, 0.7282, 0.5000)  2 Cr 2.45, 4 Tc 2.63, 2 Re 2.72
Re (0.4940, 0.4940, 0.0000)  4 Cr 2.62, 2 Re 2.72, 4 Tc 2.75-2.91
Tc (0.7643, 0.2643, 0.5000)  2 Cr 2.50, 6 Re 2.63-2.75

## Properties
energy relative to the elements	0.15	eV per atom
crystal system	orthorhombic


No. 8
The following is a PBEsol calculation of crystalline CrRe2Tc at its relaxed geometry, from Alexandria via LeMat-Bulk.

Cell lengths 4.2674, 4.2674, 4.2674 Å; angles 60.00, 60.00, 60.00 degrees
With the nearest neighbours (Å) after each atom.
Element x y z (fractional)
Cr (0.0000, 0.0000, 0.0000)  8 Re 2.61
Re (0.2500, 0.2500, 0.2500)  4 Tc 2.61, 4 Cr 2.61
Re (0.7500, 0.7500, 0.7500)  4 Tc 2.61, 4 Cr 2.61
Tc (0.5000, 0.5000, 0.5000)  8 Re 2.61

## Properties
energy relative to the elements	0.20	eV per atom
crystal system	cubic


No. 9
The following is a PBEsol calculation of crystalline Cr4ReTc at its relaxed geometry, from Alexandria via LeMat-Bulk.

Cell lengths 4.6919, 4.6919, 4.6919 Å; angles 60.00, 60.00, 60.00 degrees
With the nearest neighbours (Å) after each atom.
Element x y z (fractional)
Cr (0.1253, 0.1253, 0.1253)  6 Cr 2.34-2.35
Cr (0.1253, 0.1253, 0.6242)  6 Cr 2.34-2.35
Cr (0.1253, 0.6242, 0.1253)  6 Cr 2.34-2.35
Cr (0.6242, 0.1253, 0.1253)  6 Cr 2.34-2.35
Re (0.5000, 0.5000, 0.5000)  12 Cr 2.75, 4 Tc 2.87
Tc (0.7500, 0.7500, 0.7500)  12 Cr 2.75, 4 Re 2.87

## Properties
energy relative to the elements	0.02	eV per atom
crystal system	cubic


No. 10
The following is a PBEsol calculation of crystalline Tl2CrReTc at its relaxed geometry, from Alexandria via LeMat-Bulk.

Cell lengths 5.2004, 5.2004, 4.4737 Å; angles 90.00, 90.00, 90.00 degrees
With the nearest neighbours (Å) after each atom.
Element x y z (fractional)
Tl (0.0000, 0.5000, 0.0000)  2 Re 2.60
Tl (0.5000, 0.0000, 0.0000)  2 Re 2.60
Cr (0.0000, 0.0000, 0.5000)  2 Re 2.24
Re (0.0000, 0.0000, 0.0000)  2 Cr 2.24
Tc (0.5000, 0.5000, 0.5000)  8 Tl 3.43, 4 Cr 3.68

## Properties
energy relative to the elements	1.88	eV per atom
crystal system	tetragonal


No. 11
The following is a PBEsol calculation of crystalline CrReTe2 at its relaxed geometry, from Alexandria via LeMat-Bulk.

Cell lengths 6.5862, 6.5862, 6.5862 Å; angles 35.68, 35.68, 35.68 degrees
With the nearest neighbours (Å) after each atom.
Element x y z (fractional)
Cr (0.0000, 0.0000, 0.0000)  3 Re 2.36
Re (0.6879, 0.6879, 0.6879)  3 Cr 2.36
Te (0.2544, 0.2544, 0.2544)  3 Cr 2.75, 3 Re 2.98
Te (0.4391, 0.4391, 0.4391)  3 Re 2.80, 3 Cr 3.04

## Properties
formation energy (no corrections)	285	meV per atom
crystal system	trigonal


No. 12
The following is a PBEsol calculation of crystalline CrReTe2 at its relaxed geometry, from Alexandria via LeMat-Bulk.

Cell lengths 4.5669, 4.5669, 4.5669 Å; angles 60.00, 60.00, 60.00 degrees
With the nearest neighbours (Å) after each atom.
Element x y z (fractional)
Cr (0.0000, 0.0000, 0.0000)  8 Te 2.80
Re (0.5000, 0.5000, 0.5000)  8 Te 2.80
Te (0.2500, 0.2500, 0.2500)  4 Cr 2.80, 4 Re 2.80
Te (0.7500, 0.7500, 0.7500)  4 Cr 2.80, 4 Re 2.80

## Properties
formation energy (no corrections)	602	meV per atom
crystal system	cubic


Looking at Fermi-level density of states for the records above, in order, we have 1.23, 1.54, 0.60, 0.73, 0.71, 0.74, 0.87, 1.14, 1.22, 0.78, 0.63, 0.86 states/eV/atom.
Looking at VASP energy for the records above, in order, we have -21.68, -32.66, -46.43, -45.94, -46.06, -56.17, -47.59, -47.37, -65.42, -30.68, -29.49, -28.22 eV/cell.
Looking at total moment for the records above, in order, we have 6.40, 2.17, 0.01, 0.00, 0.00, 0.00, 0.00, 0.00, 0.00, 6.43, 0.00, 0.15 μB per cell.